Entry 1:
Gd6Ho | PBE | relaxed

The value obtained for the formation enthalpy at 0 K is 1.335 eV per atom.

It has space group Im-3m (No. 229), with a = 7.965 Å, b = 7.965 Å, c = 7.965 Å, α = 90.00°, β = 90.00° and γ = 90.00°. The distinct sites, in fractional coordinates, are Gd at (0.000, 0.250, 0.500) and Ho at (0.000, 0.000, 0.000).

---

Entry 2:
GdHo3 | PBE | relaxed

As for the energy above the most stable polymorph in this dataset: 0.33 kcal/mol of atoms. The value obtained for the formation enthalpy at 0 K is 0.018 eV per atom.

It has space group I4/mmm (No. 139), with a = 5.001 Å, b = 5.001 Å, c = 10.010 Å, α = 90.00°, β = 90.00° and γ = 90.00°. The distinct sites, in fractional coordinates, are Gd at (0.000, 0.000, 0.000), Ho at (0.000, 0.000, 0.500) and Ho at (0.000, 0.500, 0.250).

---

Entry 3:
GdHo | PBE | relaxed

As for the energy above the most stable polymorph in this dataset: 2.32 kcal/mol of atoms. The value obtained for the formation enthalpy at 0 K is 0.102 eV per atom.

It has space group Pm-3m (No. 221), with a = 3.999 Å, b = 3.999 Å, c = 3.999 Å, α = 90.00°, β = 90.00° and γ = 90.00°. The distinct sites, in fractional coordinates, are Gd at (0.000, 0.000, 0.000) and Ho at (0.500, 0.500, 0.500).

---

Entry 4:
GdHo | PBE | relaxed

As for the energy above the most stable polymorph in this dataset: 0.00 kcal/mol of atoms. The value obtained for the formation enthalpy at 0 K is 0.002 eV per atom.

It has space group Pmma (No. 51), with a = 5.744 Å, b = 3.609 Å, c = 6.261 Å, α = 90.00°, β = 90.00° and γ = 90.00°. The distinct sites, in fractional coordinates, are Gd at (0.250, 0.000, 0.169) and Ho at (0.250, 0.500, 0.664).

---

Entry 5:
Gd3Ho | PBE | relaxed

As for the energy above the most stable polymorph in this dataset: 0.00 kcal/mol of atoms. The value obtained for the formation enthalpy at 0 K is -0.002 eV per atom.

It has space group Imm2 (No. 44), with a = 3.622 Å, b = 11.527 Å, c = 6.260 Å, α = 90.00°, β = 90.00° and γ = 90.00°. The distinct sites, in fractional coordinates, are Gd at (0.000, 0.000, 0.000), Gd at (0.000, 0.249, 0.335) and Ho at (0.000, 0.500, 0.998).

---

Entry 6:
Gd3Ho | PBE | relaxed

As for the energy above the most stable polymorph in this dataset: 2.53 kcal/mol of atoms. The value obtained for the formation enthalpy at 0 K is 0.107 eV per atom.

It has space group Fm-3m (No. 225), with a = 8.036 Å, b = 8.036 Å, c = 8.036 Å, α = 90.00°, β = 90.00° and γ = 90.00°. The distinct sites, in fractional coordinates, are Gd at (0.000, 0.000, 0.000), Gd at (0.250, 0.250, 0.250) and Ho at (0.000, 0.000, 0.500).